The following is a DFT calculation (GGA-PBE) of a relaxed structure of CuNi2PdN.

Lattice parameters (Å, degrees): 3.7143 3.7143 4.1950 90.00 90.00 90.00
Space group P4/mmm (No. 123)
One atom of each set of equivalent atoms:
Cu: 0.0000 0.0000 0.0000 x1
Ni: 0.0000 0.5000 0.5000 x2
Pd: 0.5000 0.5000 0.0000 x1
N: 0.5000 0.5000 0.5000 x1

Total magnetization   0.002 μB/atom
Distance to the lowest polymorph of the same formula   48 meV per atom

---

The following is a DFT calculation (GGA-PBE) of a relaxed structure of CuNi2PdN.

Lattice parameters (Å, degrees): 3.7507 3.7507 3.9676 90.00 90.00 90.00
Space group P4/mmm (No. 123)
One atom of each set of equivalent atoms:
Cu: 0.0000 0.0000 0.0000 x1
Ni: 0.0000 0.5000 0.5000 x2
Pd: 0.5000 0.5000 0.0000 x1
N: 0.0000 0.0000 0.5000 x1

Total magnetization   0.000 μB/atom
Distance to the lowest polymorph of the same formula   0 meV per atom

---

The following is a DFT calculation (GGA-PBE) of a relaxed structure of CuNiRu2N.

Lattice parameters (Å, degrees): 3.9927 3.9927 3.7647 90.00 90.00 90.00
Space group P4/mmm (No. 123)
One atom of each set of equivalent atoms:
Cu: 0.0000 0.0000 0.0000 x1
Ni: 0.5000 0.5000 0.0000 x1
Ru: 0.0000 0.5000 0.5000 x2
N: 0.5000 0.5000 0.5000 x1

Total magnetization   0.258 μB/atom
Calculated total energy   -35.5 eV per cell

---

The following is a DFT calculation (GGA-PBE) of a relaxed structure of CuNiSN2.

Lattice parameters (Å, degrees): 3.4396 3.4396 6.8767 90.00 90.00 90.00
Space group P4/mmm (No. 123)
One atom of each set of equivalent atoms:
Cu: 0.0000 0.0000 0.0000 x1
Ni: 0.5000 0.5000 0.5000 x1
S: 0.5000 0.5000 0.0000 x1
N: 0.0000 0.5000 0.5000 x2

Total magnetization   0.099 μB/atom
Distance to the lowest polymorph of the same formula   0 meV per atom

---

The following is a DFT calculation (GGA-PBE) of a relaxed structure of CuNiS2N.

Lattice parameters (Å, degrees): 4.6363 4.6363 3.5287 90.00 90.00 90.00
Space group P4/mmm (No. 123)
One atom of each set of equivalent atoms:
Cu: 0.0000 0.0000 0.0000 x1
Ni: 0.5000 0.5000 0.5000 x1
S: 0.0000 0.5000 0.0000 x2
N: 0.0000 0.0000 0.5000 x1

Total magnetization   0.470 μB/atom
Distance to the lowest polymorph of the same formula   403 meV per atom

---

The following is a DFT calculation (GGA-PBE) of a relaxed structure of CuNiSN2.

Lattice parameters (Å, degrees): 3.5551 3.5551 5.6508 90.00 90.00 90.00
Space group P4/mmm (No. 123)
One atom of each set of equivalent atoms:
Cu: 0.0000 0.0000 0.0000 x1
Ni: 0.5000 0.5000 0.5000 x1
S: 0.0000 0.0000 0.5000 x1
N: 0.0000 0.5000 0.0000 x2

Total magnetization   0.780 μB/atom
Distance to the lowest polymorph of the same formula   422 meV per atom

---

The following is a DFT calculation (GGA-PBE) of a relaxed structure of CuNiS2N.

Lattice parameters (Å, degrees): 4.6952 4.6952 3.3607 90.00 90.00 90.00
Space group P4/mmm (No. 123)
One atom of each set of equivalent atoms:
Cu: 0.0000 0.0000 0.0000 x1
Ni: 0.5000 0.5000 0.5000 x1
S: 0.0000 0.5000 0.5000 x2
N: 0.5000 0.5000 0.0000 x1

Total magnetization   0.063 μB/atom
Distance to the lowest polymorph of the same formula   0 meV per atom

---

The following is a DFT calculation (GGA-PBE) of a relaxed structure of CuTcNi2N.

Lattice parameters (Å, degrees): 3.7731 3.7731 3.9619 90.00 90.00 90.00
Space group P4/mmm (No. 123)
One atom of each set of equivalent atoms:
Cu: 0.0000 0.0000 0.0000 x1
Tc: 0.5000 0.5000 0.0000 x1
Ni: 0.0000 0.5000 0.5000 x2
N: 0.5000 0.5000 0.5000 x1

Total magnetization   0.000 μB/atom
Calculated total energy   -34.0 eV per cell

---

The following is a DFT calculation (GGA-PBE) of a relaxed structure of CuTc2NiN.

Lattice parameters (Å, degrees): 4.0106 4.0106 3.7504 90.00 90.00 90.00
Space group P4/mmm (No. 123)
One atom of each set of equivalent atoms:
Cu: 0.0000 0.0000 0.0000 x1
Tc: 0.0000 0.5000 0.5000 x2
Ni: 0.5000 0.5000 0.0000 x1
N: 0.5000 0.5000 0.5000 x1

Total magnetization   0.000 μB/atom
Calculated total energy   -38.3 eV per cell

---

The following is a DFT calculation (GGA-PBE) of a relaxed structure of VCuNi2N.

Lattice parameters (Å, degrees): 3.7823 3.7823 3.8564 90.00 90.00 90.00
Space group P4/mmm (No. 123)
One atom of each set of equivalent atoms:
V: 0.0000 0.0000 0.0000 x1
Cu: 0.5000 0.5000 0.0000 x1
Ni: 0.0000 0.5000 0.5000 x2
N: 0.0000 0.0000 0.5000 x1

Total magnetization   0.386 μB/atom
Calculated total energy   -33.9 eV per cell

---

The following is a DFT calculation (GGA-PBE) of a relaxed structure of Y2CuNiN.

Lattice parameters (Å, degrees): 4.8117 4.8117 3.7140 90.00 90.00 90.00
Space group P4/mmm (No. 123)
One atom of each set of equivalent atoms:
Y: 0.0000 0.5000 0.0000 x2
Cu: 0.0000 0.0000 0.5000 x1
Ni: 0.5000 0.5000 0.5000 x1
N: 0.5000 0.5000 0.0000 x1

Total magnetization   0.000 μB/atom
Calculated total energy   -34.4 eV per cell

---

The following is a DFT calculation (GGA-PBE) of a relaxed structure of Zr2CuNiN.

Lattice parameters (Å, degrees): 4.7942 4.7942 4.1119 90.00 90.00 90.00
Space group P4/mmm (No. 123)
One atom of each set of equivalent atoms:
Zr: 0.0000 0.5000 0.0000 x2
Cu: 0.0000 0.0000 0.0000 x1
Ni: 0.0000 0.0000 0.5000 x1
N: 0.5000 0.5000 0.5000 x1

Total magnetization   0.000 μB/atom
Calculated total energy   -29.0 eV per cell

---

DOS at the Fermi energy in states/eV per cell, matching the order above: 5.56, 6.78, 5.82, 4.12, 4.07, 5.40, 5.54, 6.90, 3.25, 4.59, 3.98, 7.18